An optimized crystal structure of Fe2P3O12. Source: Alexandria, functional PBE with a Hubbard U.

## Properties
Calculated total energy   -6.793 eV/atom

Unit cell a=9.074 b=9.074 c=9.074 alpha=57.78 beta=57.78 gamma=57.78
Atoms (fractional coordinates):
Fe  0.144  0.144  0.144
Fe  0.356  0.356  0.356
Fe  0.644  0.644  0.644
Fe  0.856  0.856  0.856
P  0.034  0.466  0.750
P  0.250  0.966  0.534
P  0.466  0.750  0.034
P  0.534  0.250  0.966
P  0.750  0.034  0.466
P  0.966  0.534  0.250
O  0.005  0.638  0.771
O  0.062  0.296  0.924
O  0.076  0.938  0.704
O  0.138  0.504  0.273
O  0.205  0.436  0.577
O  0.229  0.995  0.362
O  0.273  0.138  0.504
O  0.296  0.924  0.062
O  0.362  0.229  0.995
O  0.423  0.795  0.564
O  0.436  0.577  0.205
O  0.496  0.727  0.862
O  0.504  0.273  0.138
O  0.564  0.423  0.795
O  0.577  0.205  0.436
O  0.638  0.771  0.005
O  0.704  0.076  0.938
O  0.727  0.862  0.496
O  0.771  0.005  0.638
O  0.795  0.564  0.423
O  0.862  0.496  0.727
O  0.924  0.062  0.296
O  0.938  0.704  0.076
O  0.995  0.362  0.229


An optimized crystal structure of PaFeP2O8. Source: Alexandria, functional PBE with a Hubbard U.

## Properties
Calculated total energy   -7.872 eV/atom

Unit cell a=5.185 b=5.185 c=6.720 alpha=90.00 beta=90.00 gamma=120.00
Atoms (fractional coordinates):
Pa  0.000  0.000  0.000
Fe  0.000  0.000  0.500
P  0.333  0.667  0.210
P  0.667  0.333  0.790
O  0.169  0.339  0.281
O  0.169  0.831  0.281
O  0.333  0.667  0.980
O  0.339  0.169  0.719
O  0.661  0.831  0.281
O  0.667  0.333  0.020
O  0.831  0.169  0.719
O  0.831  0.661  0.719


An optimized crystal structure of FeP2PbO. Source: Alexandria, functional PBE with a Hubbard U.

## Properties
Calculated total energy   -3.857 eV/atom

Unit cell a=5.227 b=5.227 c=4.081 alpha=90.00 beta=90.00 gamma=90.00
Atoms (fractional coordinates):
Fe  0.000  0.000  0.000
P  0.000  0.500  0.500
P  0.500  0.000  0.500
Pb  0.500  0.500  0.500
O  0.500  0.500  0.000